The following is a PBE calculation of crystalline Sc4PRu at its relaxed geometry, from the Alexandria database.

Geometry as CIF:
```
data_Sc4PRu
_cell_length_a 5.4716
_cell_length_b 5.4716
_cell_length_c 5.4716
_cell_angle_alpha 60.00
_cell_angle_beta 60.00
_cell_angle_gamma 60.00
_symmetry_space_group_name_H-M 'P 1'
_symmetry_Int_Tables_number 1
loop_
_symmetry_equiv_pos_as_xyz
'x,y,z'
loop_
_atom_site_label
_atom_site_type_symbol
_atom_site_fract_x
_atom_site_fract_y
_atom_site_fract_z
_atom_site_occupancy
Sc1 Sc 0.3763 0.3763 0.3763 1
Sc2 Sc 0.3763 0.3763 0.8712 1
Sc3 Sc 0.3763 0.8712 0.3763 1
Sc4 Sc 0.8712 0.3763 0.3763 1
P1 P 0.0000 0.0000 0.0000 1
Ru1 Ru 0.7500 0.7500 0.7500 1
```

Summary:
The calculation puts the total DFT energy (no corrections) at -37.5 eV/cell. As for the total magnetization: 0.6 μB/cell. As for the symmetry: No. 216. The density is 4.471 Mg/m³.



The following is a PBE calculation of crystalline Hg2BiTeO6 at its relaxed geometry, from the Alexandria database.

Geometry as CIF:
```
data_Hg2BiTeO6
_cell_length_a 6.0822
_cell_length_b 6.0822
_cell_length_c 6.0822
_cell_angle_alpha 57.63
_cell_angle_beta 57.63
_cell_angle_gamma 57.63
_symmetry_space_group_name_H-M 'P 1'
_symmetry_Int_Tables_number 1
loop_
_symmetry_equiv_pos_as_xyz
'x,y,z'
loop_
_atom_site_label
_atom_site_type_symbol
_atom_site_fract_x
_atom_site_fract_y
_atom_site_fract_z
_atom_site_occupancy
Hg1 Hg 0.2476 0.2476 0.2476 1
Hg2 Hg 0.7524 0.7524 0.7524 1
Bi1 Bi 0.0000 0.0000 0.0000 1
Te1 Te 0.5000 0.5000 0.5000 1
O1 O 0.1544 0.7244 0.3887 1
O2 O 0.2756 0.6113 0.8456 1
O3 O 0.3887 0.1544 0.7244 1
O4 O 0.6113 0.8456 0.2756 1
O5 O 0.7244 0.3887 0.1544 1
O6 O 0.8456 0.2756 0.6113 1
```

Summary:
As for the total magnetization: 0.0 μB/cell. As for the symmetry: No. 148. The density is 9.204 Mg/m³. The calculation puts the uncorrected formation energy at -0.711 eV per atom.



The following is a PBE calculation of crystalline Be2AsCl at its relaxed geometry, from the Alexandria database.

Geometry as CIF:
```
data_Be2AsCl
_cell_length_a 4.3741
_cell_length_b 4.3741
_cell_length_c 4.3741
_cell_angle_alpha 60.00
_cell_angle_beta 60.00
_cell_angle_gamma 60.00
_symmetry_space_group_name_H-M 'P 1'
_symmetry_Int_Tables_number 1
loop_
_symmetry_equiv_pos_as_xyz
'x,y,z'
loop_
_atom_site_label
_atom_site_type_symbol
_atom_site_fract_x
_atom_site_fract_y
_atom_site_fract_z
_atom_site_occupancy
Be1 Be 0.2500 0.2500 0.2500 1
Be2 Be 0.7500 0.7500 0.7500 1
As1 As 0.0000 0.0000 0.0000 1
Cl1 Cl 0.5000 0.5000 0.5000 1
```

Summary:
As for the total magnetization: 0.0 μB/cell. As for the symmetry: No. 225. The density is 3.603 Mg/m³. The calculation puts the uncorrected formation energy at 0.620 eV per atom.



The following is a PBE calculation of crystalline ZnSnHPt2 at its relaxed geometry, from the Alexandria database.

Geometry as CIF:
```
data_ZnSnHPt2
_cell_length_a 5.0193
_cell_length_b 5.0193
_cell_length_c 5.3097
_cell_angle_alpha 90.00
_cell_angle_beta 90.00
_cell_angle_gamma 90.00
_symmetry_space_group_name_H-M 'P 1'
_symmetry_Int_Tables_number 1
loop_
_symmetry_equiv_pos_as_xyz
'x,y,z'
loop_
_atom_site_label
_atom_site_type_symbol
_atom_site_fract_x
_atom_site_fract_y
_atom_site_fract_z
_atom_site_occupancy
Zn1 Zn 0.0000 0.0000 0.0000 1
Sn1 Sn 0.0000 0.0000 0.5000 1
H1 H 0.5000 0.5000 0.0000 1
Pt1 Pt 0.0000 0.5000 0.5000 1
Pt2 Pt 0.5000 0.0000 0.5000 1
```

Summary:
The calculation puts the total DFT energy (no corrections) at -14.7 eV/cell. As for the total magnetization: 1.0 μB/cell. As for the symmetry: No. 123. The density is 7.141 Mg/m³.



The following is a PBE calculation of crystalline Rb4Ac3SmS8 at its relaxed geometry, from the Alexandria database.

Geometry as CIF:
```
data_Rb4Ac3SmS8
_cell_length_a 9.2475
_cell_length_b 9.2475
_cell_length_c 9.2475
_cell_angle_alpha 56.71
_cell_angle_beta 56.71
_cell_angle_gamma 56.71
_symmetry_space_group_name_H-M 'P 1'
_symmetry_Int_Tables_number 1
loop_
_symmetry_equiv_pos_as_xyz
'x,y,z'
loop_
_atom_site_label
_atom_site_type_symbol
_atom_site_fract_x
_atom_site_fract_y
_atom_site_fract_z
_atom_site_occupancy
Rb1 Rb 0.0000 0.0000 0.0000 1
Rb2 Rb 0.0000 0.5000 0.5000 1
Rb3 Rb 0.5000 0.0000 0.5000 1
Rb4 Rb 0.5000 0.5000 0.0000 1
Ac1 Ac 0.0000 0.0000 0.5000 1
Ac2 Ac 0.0000 0.5000 0.0000 1
Ac3 Ac 0.5000 0.0000 0.0000 1
Sm1 Sm 0.5000 0.5000 0.5000 1
S1 S 0.2351 0.2351 0.2351 1
S2 S 0.2458 0.7267 0.7267 1
S3 S 0.2733 0.2733 0.7542 1
S4 S 0.2733 0.7542 0.2733 1
S5 S 0.7267 0.2458 0.7267 1
S6 S 0.7267 0.7267 0.2458 1
S7 S 0.7542 0.2733 0.2733 1
S8 S 0.7649 0.7649 0.7649 1
```

Summary:
As for the total magnetization: 0.0 μB/cell. As for the symmetry: No. 166. The density is 4.595 Mg/m³. The calculation puts the uncorrected formation energy at -1.859 eV per atom.



The following is a PBE calculation of crystalline TaFePt2 at its relaxed geometry, from the Alexandria database.

Geometry as CIF:
```
data_TaFePt2
_cell_length_a 3.3886
_cell_length_b 3.3886
_cell_length_c 5.4248
_cell_angle_alpha 90.00
_cell_angle_beta 90.00
_cell_angle_gamma 90.00
_symmetry_space_group_name_H-M 'P 1'
_symmetry_Int_Tables_number 1
loop_
_symmetry_equiv_pos_as_xyz
'x,y,z'
loop_
_atom_site_label
_atom_site_type_symbol
_atom_site_fract_x
_atom_site_fract_y
_atom_site_fract_z
_atom_site_occupancy
Ta1 Ta 0.0000 0.0000 0.0000 1
Fe1 Fe 0.0000 0.0000 0.5000 1
Pt1 Pt 0.5000 0.5000 0.2565 1
Pt2 Pt 0.5000 0.5000 0.7435 1
```

Summary:
The calculation puts the total DFT energy (no corrections) at -34.1 eV/cell. As for the total magnetization: 2.3 μB/cell. As for the symmetry: No. 123. The density is 16.713 Mg/m³.



The following is a PBE calculation of crystalline Ac3La2Zn2 at its relaxed geometry, from the Alexandria database.

Geometry as CIF:
```
data_Ac3La2Zn2
_cell_length_a 16.6269
_cell_length_b 16.6269
_cell_length_c 3.8370
_cell_angle_alpha 90.00
_cell_angle_beta 90.00
_cell_angle_gamma 166.70
_symmetry_space_group_name_H-M 'P 1'
_symmetry_Int_Tables_number 1
loop_
_symmetry_equiv_pos_as_xyz
'x,y,z'
loop_
_atom_site_label
_atom_site_type_symbol
_atom_site_fract_x
_atom_site_fract_y
_atom_site_fract_z
_atom_site_occupancy
Ac1 Ac 0.0000 0.0000 0.0000 1
Ac2 Ac 0.1200 0.8800 0.0000 1
Ac3 Ac 0.8800 0.1200 0.0000 1
La1 La 0.2957 0.7043 0.5000 1
La2 La 0.7043 0.2957 0.5000 1
Zn1 Zn 0.4395 0.5605 0.5000 1
Zn2 Zn 0.5605 0.4395 0.5000 1
```

Summary:
The calculation puts the total DFT energy (no corrections) at -25.2 eV/cell. As for the total magnetization: 0.0 μB/cell. As for the symmetry: No. 65. The density is 7.412 Mg/m³.



The following is a PBE calculation of crystalline Be4InFe at its relaxed geometry, from the Alexandria database.

Geometry as CIF:
```
data_Be4InFe
_cell_length_a 4.4221
_cell_length_b 4.4221
_cell_length_c 4.4221
_cell_angle_alpha 60.00
_cell_angle_beta 60.00
_cell_angle_gamma 60.00
_symmetry_space_group_name_H-M 'P 1'
_symmetry_Int_Tables_number 1
loop_
_symmetry_equiv_pos_as_xyz
'x,y,z'
loop_
_atom_site_label
_atom_site_type_symbol
_atom_site_fract_x
_atom_site_fract_y
_atom_site_fract_z
_atom_site_occupancy
Be1 Be 0.1220 0.1220 0.1220 1
Be2 Be 0.1220 0.1220 0.6339 1
Be3 Be 0.1220 0.6339 0.1220 1
Be4 Be 0.6339 0.1220 0.1220 1
In1 In 0.5000 0.5000 0.5000 1
Fe1 Fe 0.7500 0.7500 0.7500 1
```

Summary:
The calculation puts the total DFT energy (no corrections) at -25.8 eV/cell. As for the total magnetization: 0.7 μB/cell. As for the symmetry: No. 216. The density is 5.613 Mg/m³.



The following is a PBE calculation of crystalline La4Pm2Mg at its relaxed geometry, from the Alexandria database.

Geometry as CIF:
```
data_La4Pm2Mg
_cell_length_a 4.8170
_cell_length_b 4.8170
_cell_length_c 11.2872
_cell_angle_alpha 90.00
_cell_angle_beta 90.00
_cell_angle_gamma 90.00
_symmetry_space_group_name_H-M 'P 1'
_symmetry_Int_Tables_number 1
loop_
_symmetry_equiv_pos_as_xyz
'x,y,z'
loop_
_atom_site_label
_atom_site_type_symbol
_atom_site_fract_x
_atom_site_fract_y
_atom_site_fract_z
_atom_site_occupancy
La1 La 0.2282 0.2282 0.2365 1
La2 La 0.2282 0.7718 0.7635 1
La3 La 0.7718 0.2282 0.7635 1
La4 La 0.7718 0.7718 0.2365 1
Pm1 Pm 0.0000 0.5000 0.5000 1
Pm2 Pm 0.5000 0.0000 0.5000 1
Mg1 Mg 0.5000 0.5000 0.0000 1
```

Summary:
The calculation puts the total DFT energy (no corrections) at -27.7 eV/cell. As for the total magnetization: 0.0 μB/cell. As for the symmetry: No. 111. The density is 5.516 Mg/m³.



The following is a PBE calculation of crystalline La2Co3B4 at its relaxed geometry, from the Alexandria database.

Geometry as CIF:
```
data_La2Co3B4
_cell_length_a 7.5132
_cell_length_b 6.6941
_cell_length_c 4.9213
_cell_angle_alpha 78.99
_cell_angle_beta 61.00
_cell_angle_gamma 40.01
_symmetry_space_group_name_H-M 'P 1'
_symmetry_Int_Tables_number 1
loop_
_symmetry_equiv_pos_as_xyz
'x,y,z'
loop_
_atom_site_label
_atom_site_type_symbol
_atom_site_fract_x
_atom_site_fract_y
_atom_site_fract_z
_atom_site_occupancy
La1 La 0.1541 0.1541 0.8459 1
La2 La 0.8459 0.8459 0.1541 1
Co1 Co 0.0000 0.0000 0.5000 1
Co2 Co 0.5000 0.5000 0.0000 1
Co3 Co 0.5000 0.5000 0.5000 1
B1 B 0.2222 0.5547 0.4453 1
B2 B 0.4453 0.7778 0.2222 1
B3 B 0.5547 0.2222 0.7778 1
B4 B 0.7778 0.4453 0.5547 1
```

Summary:
The calculation puts the total DFT energy (no corrections) at -58.0 eV/cell. As for the total magnetization: 0.0 μB/cell. As for the symmetry: No. 69. The density is 6.271 Mg/m³.